1.
MgCuBi2 | PBE-GGA | optimized geometry

Unit cell a=5.2380 b=5.2380 c=5.2380 alpha=60.00 beta=60.00 gamma=60.00
Closest atoms and distances in Å follow each position.
Positions (direct):
Mg (0.0000, 0.0000, 0.0000)  4 Bi 3.21, 4 Cu 3.21
Cu (0.7500, 0.7500, 0.7500)  4 Bi 3.21, 4 Mg 3.21
Bi (0.2500, 0.2500, 0.2500)  4 Bi 3.21, 4 Mg 3.21
Bi (0.5000, 0.5000, 0.5000)  4 Bi 3.21, 4 Cu 3.21

---

2.
Mg2CuBi | PBE-GGA | optimized geometry

Unit cell a=4.9680 b=4.9680 c=4.9680 alpha=60.00 beta=60.00 gamma=60.00
Closest atoms and distances in Å follow each position.
Positions (direct):
Mg (0.0000, 0.0000, 0.0000)  4 Cu 3.04, 4 Mg 3.04
Mg (0.2500, 0.2500, 0.2500)  4 Bi 3.04, 4 Mg 3.04
Cu (0.7500, 0.7500, 0.7500)  4 Bi 3.04, 4 Mg 3.04
Bi (0.5000, 0.5000, 0.5000)  4 Cu 3.04, 4 Mg 3.04

---

3.
MgCuNiBi | PBE-GGA | optimized geometry

Unit cell a=4.5944 b=4.5944 c=4.5944 alpha=60.00 beta=60.00 gamma=60.00
Closest atoms and distances in Å follow each position.
Positions (direct):
Mg (0.0000, 0.0000, 0.0000)  4 Ni 2.81, 4 Cu 2.81
Cu (0.2500, 0.2500, 0.2500)  4 Bi 2.81, 4 Mg 2.81
Ni (0.7500, 0.7500, 0.7500)  4 Bi 2.81, 4 Mg 2.81
Bi (0.5000, 0.5000, 0.5000)  4 Ni 2.81, 4 Cu 2.81

Properties
As for the energy above the most stable polymorph in this dataset: 0 meV/atom. For the magnetization, the calculation gives 0.003 μB per formula unit.

---

4.
MgCuNiBi | PBE-GGA | optimized geometry

Unit cell a=4.6088 b=4.6088 c=4.6088 alpha=60.00 beta=60.00 gamma=60.00
Closest atoms and distances in Å follow each position.
Positions (direct):
Mg (0.0000, 0.0000, 0.0000)  4 Bi 2.82, 4 Cu 2.82
Cu (0.2500, 0.2500, 0.2500)  4 Mg 2.82, 4 Ni 2.82
Ni (0.5000, 0.5000, 0.5000)  4 Bi 2.82, 4 Cu 2.82
Bi (0.7500, 0.7500, 0.7500)  4 Ni 2.82, 4 Mg 2.82

Properties
As for the energy above the most stable polymorph in this dataset: 107 meV/atom. For the magnetization, the calculation gives 0.009 μB per formula unit.

---

Number 1: DFT total energy -3.071 eV/atom. Number 2: DFT total energy -2.616 eV/atom. Number 3: DFT total energy -3.665 eV/atom. Number 4: DFT total energy -3.558 eV/atom.